No. 1
VASP calculation (GGA-PBEsol) on a relaxed structure of HfAl3In.

Cell: 4.961 4.961 4.961 Å, 90.00 90.00 90.00°
Fractional coordinates of all 5 atoms:
In  0.000  0.000  0.000
Al  0.000  0.500  0.000
Al  0.000  0.000  0.500
Al  0.500  0.000  0.000
Hf  0.500  0.500  0.500

space group: Pm-3m
total magnetic moment: 0.0000 μB per atom
energy of formation: 1118 meV/atom
DOS(E_F): 0.75 states/eV per atom


No. 2
VASP calculation (GGA-PBEsol) on a relaxed structure of LiSb2Pb2.

Cell: 5.273 7.232 7.232 Å, 90.00 90.00 90.00°
Fractional coordinates of all 10 atoms:
Sb  0.000  0.862  0.638
Pb  0.500  0.683  0.817
Pb  0.500  0.817  0.317
Li  0.000  0.500  0.500
Sb  0.000  0.138  0.362
Pb  0.500  0.183  0.683
Sb  0.000  0.362  0.862
Li  0.000  0.000  0.000
Pb  0.500  0.317  0.183
Sb  0.000  0.638  0.138

E_form (uncorrected): -0.4 eV/f.u.
space group: P4/mbm
total magnetic moment: 0.0000 μB per atom
energy above the lowest structure with this stoichiometry: 0.0 meV/atom
DOS(E_F): 0.39 states/eV per atom


No. 3
VASP calculation (GGA-PBEsol) on a relaxed structure of LiN3Cl.

Cell: 3.730 3.730 3.730 Å, 90.00 90.00 90.00°
Fractional coordinates of all 5 atoms:
N  0.000  0.000  0.500
Cl  0.000  0.000  0.000
N  0.500  0.000  0.000
Li  0.500  0.500  0.500
N  0.000  0.500  0.000

E_form (uncorrected): 11.3 eV/f.u.
space group: Pm-3m
total magnetic moment: 0.0002 μB per atom
DOS(E_F): 0.71 states/eV per atom


No. 4
VASP calculation (GGA-PBEsol) on a relaxed structure of K2NO.

Cell: 6.138 6.138 6.138 Å, 108.92 108.92 110.57°
Site moments in Bohr magnetons follow the coordinates.
Fractional coordinates of all 8 atoms:
K  0.907  0.875  0.532  0.01
N  0.500  0.500  0.000  1.49
N  0.750  0.250  0.500  1.49
K  0.625  0.093  0.968  0.01
O  0.250  0.750  0.500  0.56
K  0.343  0.375  0.468  0.01
K  0.125  0.657  0.032  0.01
O  0.000  0.000  0.000  0.56

E_form (uncorrected): 1.7 eV/f.u.
space group: I-42d
total magnetic moment: 0.7500 μB per atom
DOS(E_F): 1.13 states/eV per atom


No. 5
VASP calculation (GGA-PBEsol) on a relaxed structure of Sr2AsCl.

Cell: 4.405 4.405 6.046 Å, 90.00 90.00 90.00°
Fractional coordinates of all 4 atoms:
Cl  0.500  0.500  0.500
Sr  0.500  0.500  0.000
As  0.000  0.000  0.000
Sr  0.000  0.000  0.500

E_form (uncorrected): -6.6 eV/f.u.
space group: P4/mmm
total magnetic moment: 0.0000 μB per atom
DOS(E_F): 0.03 states/eV per atom


No. 6
VASP calculation (GGA-PBEsol) on a relaxed structure of CaTiSn2O.

Cell: 4.582 5.513 5.513 Å, 90.00 90.00 90.00°
Site moments in Bohr magnetons follow the coordinates.
Fractional coordinates of all 5 atoms:
Sn  0.000  0.500  0.000  0.03
O  0.500  0.500  0.500  0.84
Ca  0.000  0.000  0.000  0.04
Sn  0.000  0.000  0.500  0.03
Ti  0.500  0.000  0.000  0.11

E_form (uncorrected): 7.8 eV/f.u.
space group: P4/mmm
total magnetic moment: 0.2536 μB per atom
DOS(E_F): 1.06 states/eV per atom